No. 1
Computed, not measured: crystalline Tl2OsO3 at its relaxed geometry at the PBE level of DFT.

final energy	-5.696	eV per atom
DOS(E_F)	0.6557	states/eV/atom
magnetic moment	0.00	μB per cell
SG	Cmcm (63)

Cell: 6.078 6.827 6.827 Å, 123.50 90.00 90.00°
Element x y z (fractional)
Os 0.250 0.936 0.936
Os 0.750 0.064 0.064
Tl 0.250 0.210 0.537
Tl 0.750 0.463 0.790
Tl 0.750 0.790 0.463
Tl 0.250 0.537 0.210
O 0.250 0.655 0.655
O 0.500 0.900 0.100
O 0.000 0.900 0.100
O 0.000 0.100 0.900
O 0.750 0.345 0.345
O 0.500 0.100 0.900



No. 2
Computed, not measured: crystalline NaSrEr at its relaxed geometry at the PBE level of DFT.

final energy	-2.430	eV per atom
DOS(E_F)	0.7715	states/eV/atom
magnetic moment	0.00	μB per cell
SG	P4/nmm (129)

Cell: 4.086 4.086 14.112 Å, 90.00 90.00 90.00°
Element x y z (fractional)
Sr 0.500 0.000 0.761
Sr 0.000 0.500 0.239
Na 0.000 0.500 0.573
Na 0.500 0.000 0.427
Er 0.000 0.500 0.938
Er 0.500 0.000 0.062



No. 3
Computed, not measured: crystalline ZnCu2O at its relaxed geometry at the PBE level of DFT.

final energy	-3.725	eV per atom
DOS(E_F)	0.0000	states/eV/atom
magnetic moment	0.00	μB per cell
SG	I-42d (122)

Cell: 4.921 4.921 6.342 Å, 67.17 67.17 90.00°
Element x y z (fractional)
O 0.250 0.750 0.500
O 0.500 0.500 0.000
Cu 0.479 0.125 0.250
Cu 0.271 0.625 0.250
Cu 0.375 0.521 0.750
Cu 0.875 0.729 0.750
Zn 0.000 0.000 0.000
Zn 0.750 0.250 0.500



No. 4
Computed, not measured: crystalline NdHo3Er6Tm2 at its relaxed geometry at the PBE level of DFT.

final energy	-4.547	eV per atom
DOS(E_F)	1.3284	states/eV/atom
magnetic moment	0.00	μB per cell
SG	C2/m (12)

Cell: 6.092 6.092 11.670 Å, 94.98 94.98 119.94°
Element x y z (fractional)
Nd 0.000 0.000 0.000
Ho 0.167 0.833 0.500
Ho 0.500 0.500 0.500
Ho 0.833 0.167 0.500
Er 0.915 0.581 0.749
Er 0.085 0.419 0.251
Er 0.750 0.750 0.251
Er 0.250 0.250 0.749
Er 0.419 0.085 0.251
Er 0.581 0.915 0.749
Tm 0.333 0.667 0.000
Tm 0.667 0.333 0.000



No. 5
Computed, not measured: crystalline CaLa2HfTc at its relaxed geometry at the PBE level of DFT.

final energy	-4.939	eV per atom
DOS(E_F)	1.9703	states/eV/atom
magnetic moment	1.29	μB per cell
SG	P4/mmm (123)

Cell: 5.695 4.603 5.695 Å, 90.00 90.00 90.00°
Each line ends with the local moment (μB).
Element x y z (fractional)
La 0.000 0.000 0.500  0.09
La 0.500 0.000 0.000  0.08
Tc 0.000 0.500 0.000  0.23
Ca 0.000 0.000 0.000  0.06
Hf 0.500 0.500 0.500  0.44



No. 6
Computed, not measured: crystalline SrSbMo3 at its relaxed geometry at the PBE level of DFT.

final energy	-4.817	eV per atom
DOS(E_F)	1.2477	states/eV/atom
magnetic moment	4.00	μB per cell
SG	Pm-3m (221)

Cell: 4.886 4.886 4.886 Å, 90.00 90.00 90.00°
Each line ends with the local moment (μB).
Element x y z (fractional)
Sb 0.500 0.500 0.500  -0.02
Mo 0.000 0.000 0.500  1.13
Mo 0.000 0.500 0.000  1.01
Mo 0.500 0.000 0.000  1.23
Sr 0.000 0.000 0.000  0.08



No. 7
Computed, not measured: crystalline Cr2MoPdN at its relaxed geometry at the PBE level of DFT.

final energy	-8.549	eV per atom
DOS(E_F)	1.6097	states/eV/atom
magnetic moment	0.00	μB per cell
SG	P4/mmm (123)

Cell: 3.874 4.102 3.874 Å, 90.00 90.00 90.00°
Element x y z (fractional)
Cr 0.500 0.000 0.000
Cr 0.000 0.000 0.500
Pd 0.000 0.500 0.000
Mo 0.500 0.500 0.500
N 0.000 0.000 0.000



No. 8
Computed, not measured: crystalline ZnRhBr2 at its relaxed geometry at the PBE level of DFT.

final energy	-2.719	eV per atom
DOS(E_F)	1.2763	states/eV/atom
magnetic moment	0.00	μB per cell
SG	Pmmm (47)

Cell: 3.507 6.365 3.913 Å, 90.00 90.00 90.00°
Element x y z (fractional)
Rh 0.500 0.000 0.500
Zn 0.000 0.500 0.500
Br 0.000 0.000 0.000
Br 0.500 0.500 0.000



No. 9
Computed, not measured: crystalline Li2Ga2Au5 at its relaxed geometry at the PBE level of DFT.

final energy	-3.207	eV per atom
DOS(E_F)	0.3773	states/eV/atom
magnetic moment	0.00	μB per cell
SG	Ima2 (46)

Cell: 7.005 6.734 8.450 Å, 113.48 114.49 90.00°
Element x y z (fractional)
Au 0.657 0.163 0.701
Au 0.049 0.576 0.500
Au 0.862 0.367 0.098
Au 0.343 0.462 0.299
Au 0.456 0.962 0.299
Au 0.951 0.076 0.500
Au 0.544 0.663 0.701
Au 0.736 0.867 0.098
Au 0.264 0.769 0.902
Au 0.138 0.269 0.902
Ga 0.500 0.483 0.000
Ga 0.281 0.250 0.500
Ga 0.000 0.983 0.000
Ga 0.719 0.750 0.500
Li 0.894 0.498 0.730
Li 0.106 0.768 0.270
Li 0.336 0.998 0.730
Li 0.664 0.268 0.270



No. 10
Computed, not measured: crystalline Al6CuNi at its relaxed geometry at the PBE level of DFT.

final energy	-3.859	eV per atom
DOS(E_F)	0.5292	states/eV/atom
magnetic moment	0.00	μB per cell
SG	P4/mmm (123)

Cell: 3.805 3.805 9.458 Å, 90.00 90.00 90.00°
Element x y z (fractional)
Al 0.000 0.500 0.333
Al 0.500 0.000 0.667
Al 0.500 0.000 0.333
Al 0.500 0.500 0.130
Al 0.000 0.500 0.667
Al 0.500 0.500 0.870
Ni 0.000 0.000 0.000
Cu 0.000 0.000 0.500



No. 11
Computed, not measured: crystalline Sr2PmGaSe5 at its relaxed geometry at the PBE level of DFT.

final energy	-4.786	eV per atom
magnetic moment	0.00	μB per cell
SG	Cmc2_1 (36)

Cell: 4.156 9.732 12.878 Å, 90.00 90.00 102.33°
Element x y z (fractional)
Ga 0.442 0.885 0.431
Ga 0.558 0.115 0.931
Sr 0.117 0.234 0.683
Sr 0.879 0.757 0.825
Sr 0.883 0.766 0.183
Sr 0.121 0.243 0.325
Se 0.319 0.638 0.364
Se 0.043 0.086 0.040
Se 0.957 0.914 0.540
Se 0.356 0.713 0.006
Se 0.498 0.996 0.768
Se 0.644 0.287 0.506
Se 0.705 0.411 0.181
Se 0.295 0.589 0.681
Se 0.502 0.004 0.268
Se 0.681 0.362 0.864
Pm 0.793 0.586 0.526
Pm 0.207 0.414 0.026



No. 12
Computed, not measured: crystalline Al2ZnNiIr at its relaxed geometry at the PBE level of DFT.

final energy	-4.335	eV per atom
DOS(E_F)	0.6220	states/eV/atom
magnetic moment	1.16	μB per cell
SG	P4/mmm (123)

Cell: 4.688 4.735 4.688 Å, 90.00 90.00 90.00°
Each line ends with the local moment (μB).
Element x y z (fractional)
Ni 0.000 0.500 0.000  0.93
Al 0.500 0.000 0.000  0.01
Al 0.000 0.000 0.500  0.01
Zn 0.500 0.500 0.500  0.00
Ir 0.000 0.000 0.000  0.22



No. 13
Computed, not measured: crystalline CaSi2Ni2 at its relaxed geometry at the PBE level of DFT.

final energy	-5.172	eV per atom
DOS(E_F)	0.5525	states/eV/atom
magnetic moment	0.00	μB per cell
SG	P4/mbm (127)

Cell: 7.267 7.267 2.678 Å, 90.00 90.00 90.00°
Element x y z (fractional)
Ca 0.000 0.000 0.000
Ca 0.500 0.500 0.000
Si 0.848 0.348 0.500
Si 0.348 0.152 0.500
Si 0.652 0.848 0.500
Si 0.152 0.652 0.500
Ni 0.631 0.131 0.000
Ni 0.131 0.369 0.000
Ni 0.369 0.869 0.000
Ni 0.869 0.631 0.000



No. 14
Computed, not measured: crystalline Re2SnAu at its relaxed geometry at the PBE level of DFT.

final energy	-6.931	eV per atom
DOS(E_F)	0.7763	states/eV/atom
magnetic moment	4.20	μB per cell
SG	I-42d (122)

Cell: 7.531 7.531 5.957 Å, 50.80 50.80 90.00°
Each line ends with the local moment (μB).
Element x y z (fractional)
Re 0.375 0.373 0.750  0.91
Re 0.875 0.877 0.750  0.91
Re 0.627 0.125 0.250  0.91
Re 0.123 0.625 0.250  0.91
Au 0.000 0.000 0.000  0.03
Au 0.750 0.250 0.500  0.03
Sn 0.250 0.750 0.500  -0.01
Sn 0.500 0.500 0.000  -0.01



No. 15
Computed, not measured: crystalline AcNd7Cd4 at its relaxed geometry at the PBE level of DFT.

final energy	-3.429	eV per atom
DOS(E_F)	1.2324	states/eV/atom
magnetic moment	0.29	μB per cell
SG	C2/m (12)

Cell: 6.056 9.296 8.109 Å, 69.69 68.07 70.99°
Each line ends with the local moment (μB).
Element x y z (fractional)
Nd 0.731 0.314 0.224  0.00
Nd 0.500 0.000 0.000  0.12
Nd 0.269 0.686 0.776  0.00
Nd 0.204 0.118 0.475  0.00
Nd 0.069 0.590 0.273  0.00
Nd 0.796 0.882 0.525  0.00
Nd 0.931 0.410 0.727  0.00
Cd 0.315 0.341 0.028  0.00
Cd 0.534 0.294 0.637  0.00
Cd 0.685 0.659 0.972  0.00
Cd 0.466 0.706 0.363  0.00
Ac 0.000 0.000 0.000  0.09



No. 16
Computed, not measured: crystalline Ca11C2N10 at its relaxed geometry at the PBE level of DFT.

final energy	-6.218	eV per atom
magnetic moment	0.00	μB per cell
SG	P4_2/mnm (136)

Cell: 14.567 14.567 3.613 Å, 90.00 90.00 90.00°
Element x y z (fractional)
N 0.124 0.124 0.000
N 0.244 0.244 0.000
N 0.189 0.472 0.500
N 0.528 0.811 0.500
N 0.876 0.876 0.000
N 0.256 0.744 0.500
N 0.311 0.972 0.000
N 0.756 0.756 0.000
N 0.624 0.376 0.500
N 0.910 0.090 0.500
N 0.028 0.689 0.000
N 0.744 0.256 0.500
N 0.410 0.410 0.000
N 0.689 0.028 0.000
N 0.472 0.189 0.500
N 0.090 0.910 0.500
N 0.590 0.590 0.000
N 0.972 0.311 0.000
N 0.811 0.528 0.500
N 0.376 0.624 0.500
Ca 0.500 0.500 0.500
Ca 0.106 0.618 0.500
Ca 0.894 0.382 0.500
Ca 0.394 0.118 0.000
Ca 0.205 0.020 0.500
Ca 0.667 0.667 0.500
Ca 0.705 0.480 0.000
Ca 0.980 0.795 0.500
Ca 0.882 0.606 0.000
Ca 0.480 0.705 0.000
Ca 0.118 0.394 0.000
Ca 0.020 0.205 0.500
Ca 0.382 0.894 0.500
Ca 0.833 0.167 0.000
Ca 0.000 0.000 0.000
Ca 0.167 0.833 0.000
Ca 0.520 0.295 0.000
Ca 0.606 0.882 0.000
Ca 0.618 0.106 0.500
Ca 0.795 0.980 0.500
Ca 0.295 0.520 0.000
Ca 0.333 0.333 0.500
C 0.316 0.684 0.500
C 0.684 0.316 0.500
C 0.184 0.184 0.000
C 0.816 0.816 0.000



No. 17
Computed, not measured: crystalline KCo2Te at its relaxed geometry at the PBE level of DFT.

final energy	-3.754	eV per atom
DOS(E_F)	1.5029	states/eV/atom
magnetic moment	3.44	μB per cell
SG	F-43m (216)

Cell: 4.832 4.832 4.832 Å, 60.00 60.00 60.00°
Each line ends with the local moment (μB).
Element x y z (fractional)
Te 0.750 0.750 0.750  0.05
Co 0.250 0.250 0.250  1.85
Co 0.000 0.000 0.000  1.68
K 0.500 0.500 0.500  0.00



No. 18
Computed, not measured: crystalline Tb2Tl3In3 at its relaxed geometry at the PBE level of DFT.

final energy	-3.401	eV per atom
DOS(E_F)	0.4637	states/eV/atom
magnetic moment	0.00	μB per cell
SG	Pmmm (47)

Cell: 4.686 4.706 9.502 Å, 90.00 90.00 90.00°
Element x y z (fractional)
Tb 0.000 0.000 0.748
Tb 0.000 0.000 0.252
In 0.500 0.000 0.500
In 0.000 0.500 0.500
In 0.000 0.500 0.000
Tl 0.500 0.500 0.747
Tl 0.500 0.000 0.000
Tl 0.500 0.500 0.253



No. 19
Computed, not measured: crystalline KMoP2 at its relaxed geometry at the PBE level of DFT.

final energy	-5.955	eV per atom
DOS(E_F)	0.3929	states/eV/atom
magnetic moment	0.00	μB per cell
SG	R-3m (166)

Cell: 8.448 8.448 8.448 Å, 22.76 22.76 22.76°
Element x y z (fractional)
P 0.480 0.480 0.480
P 0.020 0.020 0.020
K 0.250 0.250 0.250
Mo 0.750 0.750 0.750



No. 20
Computed, not measured: crystalline Tm2Ni5Ge4 at its relaxed geometry at the PBE level of DFT.

final energy	-5.646	eV per atom
DOS(E_F)	0.7880	states/eV/atom
magnetic moment	0.00	μB per cell
SG	Fmmm (69)

Cell: 5.323 5.339 7.532 Å, 79.86 69.31 60.10°
Element x y z (fractional)
Ni 0.500 0.000 0.000
Ni 0.500 0.500 0.000
Ni 0.000 0.500 0.000
Ni 0.250 0.500 0.500
Ni 0.750 0.500 0.500
Tm 0.137 0.000 0.725
Tm 0.863 0.000 0.275
Ge 0.784 0.694 0.738
Ge 0.478 0.306 0.738
Ge 0.216 0.306 0.262
Ge 0.522 0.694 0.262



No. 21
Computed, not measured: crystalline TiAl3V2 at its relaxed geometry at the PBE level of DFT.

final energy	-6.516	eV per atom
DOS(E_F)	0.5962	states/eV/atom
magnetic moment	0.00	μB per cell
SG	Cmmm (65)

Cell: 4.074 3.835 6.036 Å, 108.52 90.00 90.00°
Element x y z (fractional)
V 0.000 0.326 0.653
V 0.000 0.674 0.347
Ti 0.000 0.000 0.000
Al 0.500 0.832 0.664
Al 0.500 0.168 0.336
Al 0.500 0.500 0.000